This record from Alexandria describes crystalline Zr2PdBr at its relaxed geometry. The functional is GGA-PBEsol.

Geometry as POSCAR:
```
Zr2PdBr
1.0
4.7226 0.0000 0.0000
2.3613 4.0899 0.0000
2.3613 1.3633 3.8560
Br Zr Pd
1 2 1
direct
0.0000 0.0000 0.0000
0.7500 0.7500 0.7500
0.2500 0.2500 0.2500
0.5000 0.5000 0.5000
```

Calculated values
Its total energy is -6.879 eV per atom. The value obtained for the density is 8.222 g/cm3. For the total moment, the calculation gives 0.0 μB/f.u. The value obtained for the raw formation energy is -36.3 kJ/mol of atoms.